1.
A geometry-optimized BeCr2 structure, computed with PBE-GGA.

Its space group is No. 71. For the formation energy, the calculation gives 0.19 eV per formula unit. The value obtained for the calculated total energy is -7.595 eV/atom. As for the magnetic moment: 0.00 Bohr magnetons per cell.

abc: 4.209 4.209 4.209
angles: 147.81 125.86 64.40
Element x y z (fractional)
1 Be 0.000 0.000 0.000
2 Cr 0.339 0.339 0.000
3 Cr 0.661 0.661 0.000



2.
A geometry-optimized Tl6RuO12 structure, computed with PBE-GGA.

Its space group is No. 148. The calculation puts the raw formation energy at -0.6616 eV per atom. The value obtained for the calculated total energy is -5.028 eV/atom. As for the magnetic moment: 1.99 Bohr magnetons per cell.

abc: 6.524 6.524 6.524
angles: 98.07 98.07 98.07
Element x y z (fractional)
1 Tl 0.105 0.633 0.802
2 Tl 0.198 0.895 0.367
3 Tl 0.367 0.198 0.895
4 Tl 0.633 0.802 0.105
5 Tl 0.802 0.105 0.633
6 Tl 0.895 0.367 0.198
7 Ru 0.500 0.500 0.500
8 O 0.078 0.325 0.901
9 O 0.099 0.922 0.675
10 O 0.210 0.537 0.421
11 O 0.325 0.901 0.078
12 O 0.421 0.210 0.537
13 O 0.463 0.579 0.790
14 O 0.537 0.421 0.210
15 O 0.579 0.790 0.463
16 O 0.675 0.099 0.922
17 O 0.790 0.463 0.579
18 O 0.901 0.078 0.325
19 O 0.922 0.675 0.099